[1]
# KCa3Rh (PBEsol, relaxed)
data_KCa3Rh
_chemical_formula_sum 'K1 Ca3 Rh1'
_cell_length_a 5.616
_cell_length_b 5.616
_cell_length_c 5.616
_cell_angle_alpha 90.00
_cell_angle_beta 90.00
_cell_angle_gamma 90.00
_space_group_name_H-M_alt 'P m -3 m'
_space_group_IT_number 221
_space_group_name_Hall '-P 4 2 3'
loop_
_atom_site_label
_atom_site_type_symbol
_atom_site_fract_x
_atom_site_fract_y
_atom_site_fract_z
K1 K 0.000 0.000 0.000
Ca1 Ca 0.000 0.500 0.500
Rh1 Rh 0.500 0.500 0.500
# calculated formation energy: -118 meV/atom


[2]
# K2CaRh (PBEsol, relaxed)
data_K2CaRh
_chemical_formula_sum 'K2 Ca1 Rh1'
_cell_length_a 3.392
_cell_length_b 3.392
_cell_length_c 11.704
_cell_angle_alpha 90.00
_cell_angle_beta 90.00
_cell_angle_gamma 90.00
_space_group_name_H-M_alt 'P 4/m m m'
_space_group_IT_number 123
_space_group_name_Hall '-P 4 2'
loop_
_atom_site_label
_atom_site_type_symbol
_atom_site_fract_x
_atom_site_fract_y
_atom_site_fract_z
K1 K 0.000 0.000 0.178
Ca1 Ca 0.500 0.500 0.500
Rh1 Rh 0.500 0.500 0.000
# calculated formation energy: 733 meV/atom


[3]
# K2CaRh (PBEsol, relaxed)
data_K2CaRh
_chemical_formula_sum 'K4 Ca2 Rh2'
_cell_length_a 5.830
_cell_length_b 11.222
_cell_length_c 3.802
_cell_angle_alpha 90.00
_cell_angle_beta 90.00
_cell_angle_gamma 90.00
_space_group_name_H-M_alt 'C m m m'
_space_group_IT_number 65
_space_group_name_Hall '-C 2 2'
loop_
_atom_site_label
_atom_site_type_symbol
_atom_site_fract_x
_atom_site_fract_y
_atom_site_fract_z
K1 K 0.250 0.250 0.000
Ca1 Ca 0.000 0.000 0.500
Rh1 Rh 0.000 0.500 0.500
# calculated formation energy: 712 meV/atom


[4]
# KCa3Rh (PBEsol, relaxed)
data_KCa3Rh
_chemical_formula_sum 'K2 Ca6 Rh2'
_cell_length_a 9.063
_cell_length_b 4.098
_cell_length_c 10.170
_cell_angle_alpha 90.00
_cell_angle_beta 95.79
_cell_angle_gamma 90.00
_space_group_name_H-M_alt 'P 1 21/m 1'
_space_group_IT_number 11
_space_group_name_Hall '-P 2yb'
loop_
_atom_site_label
_atom_site_type_symbol
_atom_site_fract_x
_atom_site_fract_y
_atom_site_fract_z
K1 K 0.233 0.250 0.052
Ca1 Ca 0.052 0.750 0.376
Ca2 Ca 0.274 0.750 0.697
Ca3 Ca 0.419 0.750 0.380
Rh1 Rh 0.251 0.250 0.508
# calculated formation energy: -146 meV/atom


[5]
# K2CaRh (PBEsol, relaxed)
data_K2CaRh
_chemical_formula_sum 'K8 Ca4 Rh4'
_cell_length_a 7.775
_cell_length_b 7.775
_cell_length_c 7.775
_cell_angle_alpha 90.00
_cell_angle_beta 90.00
_cell_angle_gamma 90.00
_space_group_name_H-M_alt 'F m -3 m'
_space_group_IT_number 225
_space_group_name_Hall '-F 4 2 3'
loop_
_atom_site_label
_atom_site_type_symbol
_atom_site_fract_x
_atom_site_fract_y
_atom_site_fract_z
K1 K 0.250 0.250 0.250
Ca1 Ca 0.000 0.000 0.000
Rh1 Rh 0.000 0.000 0.500
# calculated formation energy: 740 meV/atom


[6]
# KCa3Ru (PBEsol, relaxed)
data_KCa3Ru
_chemical_formula_sum 'K1 Ca3 Ru1'
_cell_length_a 5.588
_cell_length_b 5.588
_cell_length_c 5.588
_cell_angle_alpha 90.00
_cell_angle_beta 90.00
_cell_angle_gamma 90.00
_space_group_name_H-M_alt 'P m -3 m'
_space_group_IT_number 221
_space_group_name_Hall '-P 4 2 3'
loop_
_atom_site_label
_atom_site_type_symbol
_atom_site_fract_x
_atom_site_fract_y
_atom_site_fract_z
K1 K 0.000 0.000 0.000
Ca1 Ca 0.000 0.500 0.500
Ru1 Ru 0.500 0.500 0.500
# calculated formation energy: 223 meV/atom


[7]
# KCa2Ru (PBEsol, relaxed)
data_KCa2Ru
_chemical_formula_sum 'K2 Ca4 Ru2'
_cell_length_a 3.384
_cell_length_b 4.665
_cell_length_c 17.398
_cell_angle_alpha 90.00
_cell_angle_beta 90.00
_cell_angle_gamma 90.00
_space_group_name_H-M_alt 'I m m 2'
_space_group_IT_number 44
_space_group_name_Hall 'I 2 -2'
loop_
_atom_site_label
_atom_site_type_symbol
_atom_site_fract_x
_atom_site_fract_y
_atom_site_fract_z
K1 K 0.000 0.000 0.000
Ca1 Ca 0.000 0.000 0.304
Ca2 Ca 0.000 0.500 0.162
Ru1 Ru 0.000 0.500 0.678
# calculated formation energy: 475 meV/atom


[8]
# KCa4Ru (PBEsol, relaxed)
data_KCa4Ru
_chemical_formula_sum 'K4 Ca16 Ru4'
_cell_length_a 9.360
_cell_length_b 9.360
_cell_length_c 9.360
_cell_angle_alpha 90.00
_cell_angle_beta 90.00
_cell_angle_gamma 90.00
_space_group_name_H-M_alt 'F -4 3 m'
_space_group_IT_number 216
_space_group_name_Hall 'F -4 2 3'
loop_
_atom_site_label
_atom_site_type_symbol
_atom_site_fract_x
_atom_site_fract_y
_atom_site_fract_z
K1 K 0.000 0.000 0.000
Ca1 Ca 0.123 0.123 0.377
Ru1 Ru 0.250 0.250 0.750
# calculated formation energy: 959 meV/atom


[9]
# KCaRu2 (PBEsol, relaxed)
data_KCaRu2
_chemical_formula_sum 'K1 Ca1 Ru2'
_cell_length_a 2.924
_cell_length_b 3.697
_cell_length_c 9.189
_cell_angle_alpha 90.00
_cell_angle_beta 90.58
_cell_angle_gamma 90.00
_space_group_name_H-M_alt 'P 1 m 1'
_space_group_IT_number 6
_space_group_name_Hall 'P -2y'
loop_
_atom_site_label
_atom_site_type_symbol
_atom_site_fract_x
_atom_site_fract_y
_atom_site_fract_z
K1 K 0.000 0.000 0.000
Ca1 Ca 0.522 0.500 0.583
Ru1 Ru 0.015 0.000 0.369
Ru2 Ru 0.511 0.500 0.274
# calculated formation energy: 521 meV/atom


[10]
# KCaRu2 (PBEsol, relaxed)
data_KCaRu2
_chemical_formula_sum 'K2 Ca2 Ru4'
_cell_length_a 10.347
_cell_length_b 3.961
_cell_length_c 6.843
_cell_angle_alpha 90.00
_cell_angle_beta 118.63
_cell_angle_gamma 90.00
_space_group_name_H-M_alt 'C 1 2/m 1'
_space_group_IT_number 12
_space_group_name_Hall '-C 2y'
loop_
_atom_site_label
_atom_site_type_symbol
_atom_site_fract_x
_atom_site_fract_y
_atom_site_fract_z
K1 K 0.000 0.000 0.000
Ca1 Ca 0.000 0.500 0.500
Ru1 Ru 0.245 0.500 0.415
# calculated formation energy: 828 meV/atom


[11]
# KCa2Ru (PBEsol, relaxed)
data_KCa2Ru
_chemical_formula_sum 'K4 Ca8 Ru4'
_cell_length_a 7.484
_cell_length_b 7.484
_cell_length_c 7.484
_cell_angle_alpha 90.00
_cell_angle_beta 90.00
_cell_angle_gamma 90.00
_space_group_name_H-M_alt 'F -4 3 m'
_space_group_IT_number 216
_space_group_name_Hall 'F -4 2 3'
loop_
_atom_site_label
_atom_site_type_symbol
_atom_site_fract_x
_atom_site_fract_y
_atom_site_fract_z
K1 K 0.000 0.000 0.000
Ca1 Ca 0.000 0.000 0.500
Ca2 Ca 0.250 0.250 0.250
Ru1 Ru 0.250 0.250 0.750
# calculated formation energy: 829 meV/atom


[12]
# KCaSb3 (PBEsol, relaxed)
data_KCaSb3
_chemical_formula_sum 'K1 Ca1 Sb3'
_cell_length_a 5.717
_cell_length_b 5.717
_cell_length_c 5.717
_cell_angle_alpha 90.00
_cell_angle_beta 90.00
_cell_angle_gamma 90.00
_space_group_name_H-M_alt 'P m -3 m'
_space_group_IT_number 221
_space_group_name_Hall '-P 4 2 3'
loop_
_atom_site_label
_atom_site_type_symbol
_atom_site_fract_x
_atom_site_fract_y
_atom_site_fract_z
K1 K 0.000 0.000 0.000
Ca1 Ca 0.500 0.500 0.500
Sb1 Sb 0.000 0.500 0.500
# E_form (uncorrected): 112 meV/atom